[1]
VASP calculation (GGA-PBE) on a relaxed Y2SnHAu crystal.

Values from the calculation:
Total moment: 0.7 μB/f.u.
V: 20.21 A^3/atom
Electronic total energy: -5.297 eV per atom
Density of states at the Fermi level: 2.76 states/eV/f.u.

The structure in CIF format:
```
data_Y2SnHAu
_cell_length_a 4.9243
_cell_length_b 4.9243
_cell_length_c 4.1673
_cell_angle_alpha 90.00
_cell_angle_beta 90.00
_cell_angle_gamma 90.00
_symmetry_space_group_name_H-M 'P 4/m m m'
_symmetry_Int_Tables_number 123
_symmetry_space_group_name_Hall '-P 4 2'
loop_
_atom_site_label
_atom_site_fract_x
_atom_site_fract_y
_atom_site_fract_z
Y1 0.0000 0.5000 0.0000
Sn1 0.0000 0.0000 0.5000
H1 0.5000 0.5000 0.0000
Au1 0.5000 0.5000 0.5000
```

[2]
VASP calculation (GGA-PBE) on a relaxed K3WI crystal.

Values from the calculation:
Total moment: 5.9 μB/f.u.
V: 56.64 A^3/atom
Density of states at the Fermi level: 1.99 states/eV/f.u.
Uncorrected formation energy: 0.82 eV per atom

The structure in CIF format:
```
data_K3WI
_cell_length_a 6.5670
_cell_length_b 6.5670
_cell_length_c 6.5670
_cell_angle_alpha 90.00
_cell_angle_beta 90.00
_cell_angle_gamma 90.00
_symmetry_space_group_name_H-M 'P m -3 m'
_symmetry_Int_Tables_number 221
_symmetry_space_group_name_Hall '-P 4 2 3'
loop_
_atom_site_label
_atom_site_fract_x
_atom_site_fract_y
_atom_site_fract_z
K1 0.0000 0.0000 0.5000
W1 0.5000 0.5000 0.5000
I1 0.0000 0.0000 0.0000
```

[3]
VASP calculation (GGA-PBE) on a relaxed Y2USe4 crystal.

Values from the calculation:
Total moment: 3.9 μB/f.u.
V: 33.38 A^3/atom
Density of states at the Fermi level: 9.47 states/eV/f.u.
Uncorrected formation energy: -1.30 eV per atom

The structure in CIF format:
```
data_Y2USe4
_cell_length_a 4.2497
_cell_length_b 4.2497
_cell_length_c 14.9409
_cell_angle_alpha 90.00
_cell_angle_beta 90.00
_cell_angle_gamma 120.00
_symmetry_space_group_name_H-M 'P 3 m 1'
_symmetry_Int_Tables_number 156
_symmetry_space_group_name_Hall 'P 3 -2"'
loop_
_atom_site_label
_atom_site_fract_x
_atom_site_fract_y
_atom_site_fract_z
Y1 0.0000 0.0000 0.0000
Y2 0.3333 0.6667 0.2882
U1 0.6667 0.3333 0.5820
Se1 0.0000 0.0000 0.1859
Se2 0.0000 0.0000 0.6744
Se3 0.6667 0.3333 0.3900
Se4 0.6667 0.3333 0.9204
```

[4]
VASP calculation (GGA-PBE) on a relaxed Pm2DyP3Pt12 crystal.

Values from the calculation:
Total moment: 0.0 μB/f.u.
V: 20.06 A^3/atom
Electronic total energy: -6.201 eV per atom
Density of states at the Fermi level: 6.81 states/eV/f.u.

The structure in CIF format:
```
data_Pm2DyP3Pt12
_cell_length_a 8.2921
_cell_length_b 8.2921
_cell_length_c 18.1901
_cell_angle_alpha 90.00
_cell_angle_beta 90.00
_cell_angle_gamma 120.00
_symmetry_space_group_name_H-M 'R -3 m'
_symmetry_Int_Tables_number 166
_symmetry_space_group_name_Hall '-R 3 2"'
loop_
_atom_site_label
_atom_site_fract_x
_atom_site_fract_y
_atom_site_fract_z
Pm1 0.0000 0.0000 0.0996
Dy1 0.0000 0.0000 0.5000
P1 0.0000 0.5000 0.0000
Pt1 0.0295 0.5147 0.8725
Pt2 0.0379 0.5190 0.3594
```

[5]
VASP calculation (GGA-PBE) on a relaxed Zn2TcCl crystal.

Values from the calculation:
Total moment: 1.9 μB/f.u.
V: 16.08 A^3/atom
Density of states at the Fermi level: 2.20 states/eV/f.u.
Uncorrected formation energy: 0.62 eV per atom

The structure in CIF format:
```
data_Zn2TcCl
_cell_length_a 6.3596
_cell_length_b 6.3596
_cell_length_c 6.3596
_cell_angle_alpha 90.00
_cell_angle_beta 90.00
_cell_angle_gamma 90.00
_symmetry_space_group_name_H-M 'F -4 3 m'
_symmetry_Int_Tables_number 216
_symmetry_space_group_name_Hall 'F -4 2 3'
loop_
_atom_site_label
_atom_site_fract_x
_atom_site_fract_y
_atom_site_fract_z
Zn1 0.0000 0.0000 0.0000
Zn2 0.2500 0.2500 0.2500
Tc1 0.2500 0.2500 0.7500
Cl1 0.0000 0.0000 0.5000
```

[6]
VASP calculation (GGA-PBE) on a relaxed La2As2I crystal.

Values from the calculation:
Total moment: 0.6 μB/f.u.
V: 29.56 A^3/atom
Density of states at the Fermi level: 3.73 states/eV/f.u.
Uncorrected formation energy: -1.24 eV per atom

The structure in CIF format:
```
data_La2As2I
_cell_length_a 8.5106
_cell_length_b 8.5106
_cell_length_c 4.0808
_cell_angle_alpha 90.00
_cell_angle_beta 90.00
_cell_angle_gamma 90.00
_symmetry_space_group_name_H-M 'P 4/m b m'
_symmetry_Int_Tables_number 127
_symmetry_space_group_name_Hall '-P 4 2ab'
loop_
_atom_site_label
_atom_site_fract_x
_atom_site_fract_y
_atom_site_fract_z
La1 0.1680 0.3320 0.0000
As1 0.1117 0.6117 0.5000
I1 0.0000 0.0000 0.0000
```

[7]
VASP calculation (GGA-PBE) on a relaxed Zr2MnHg crystal.

Values from the calculation:
Total moment: 1.0 μB/f.u.
V: 19.70 A^3/atom
Electronic total energy: -6.532 eV per atom
Density of states at the Fermi level: 2.14 states/eV/f.u.

The structure in CIF format:
```
data_Zr2MnHg
_cell_length_a 6.8051
_cell_length_b 6.8051
_cell_length_c 6.8051
_cell_angle_alpha 90.00
_cell_angle_beta 90.00
_cell_angle_gamma 90.00
_symmetry_space_group_name_H-M 'F -4 3 m'
_symmetry_Int_Tables_number 216
_symmetry_space_group_name_Hall 'F -4 2 3'
loop_
_atom_site_label
_atom_site_fract_x
_atom_site_fract_y
_atom_site_fract_z
Zr1 0.0000 0.0000 0.0000
Zr2 0.2500 0.2500 0.2500
Mn1 0.0000 0.0000 0.5000
Hg1 0.2500 0.2500 0.7500
```

[8]
VASP calculation (GGA-PBE) on a relaxed SiAgSb crystal.

Values from the calculation:
Total moment: 0.0 μB/f.u.
V: 22.11 A^3/atom
Density of states at the Fermi level: 0.81 states/eV/f.u.
Uncorrected formation energy: 0.27 eV per atom

The structure in CIF format:
```
data_SiAgSb
_cell_length_a 3.9165
_cell_length_b 3.9165
_cell_length_c 4.9935
_cell_angle_alpha 90.00
_cell_angle_beta 90.00
_cell_angle_gamma 120.00
_symmetry_space_group_name_H-M 'P 3 m 1'
_symmetry_Int_Tables_number 156
_symmetry_space_group_name_Hall 'P 3 -2"'
loop_
_atom_site_label
_atom_site_fract_x
_atom_site_fract_y
_atom_site_fract_z
Si1 0.0000 0.0000 0.0000
Ag1 0.3333 0.6667 0.2972
Sb1 0.6667 0.3333 0.7065
```

Copy entry 8 word for word.
VASP calculation (GGA-PBE) on a relaxed SiAgSb crystal.

Values from the calculation:
Total moment: 0.0 μB/f.u.
V: 22.11 A^3/atom
Density of states at the Fermi level: 0.81 states/eV/f.u.
Uncorrected formation energy: 0.27 eV per atom

The structure in CIF format:
```
data_SiAgSb
_cell_length_a 3.9165
_cell_length_b 3.9165
_cell_length_c 4.9935
_cell_angle_alpha 90.00
_cell_angle_beta 90.00
_cell_angle_gamma 120.00
_symmetry_space_group_name_H-M 'P 3 m 1'
_symmetry_Int_Tables_number 156
_symmetry_space_group_name_Hall 'P 3 -2"'
loop_
_atom_site_label
_atom_site_fract_x
_atom_site_fract_y
_atom_site_fract_z
Si1 0.0000 0.0000 0.0000
Ag1 0.3333 0.6667 0.2972
Sb1 0.6667 0.3333 0.7065
```